(1)
## Rb2PmI6 (PBE)

Data for crystalline Rb2PmI6 at its relaxed geometry.

Cell and atoms, written as extended XYZ:
```
9
Lattice="9.001 -4.494 0.000 9.001 4.494 0.000 -1.806 0.000 5.417" Properties=species:S:1:pos:R:3 pbc="T T T"
Rb 2.719 0.000 0.908
Rb 13.476 0.000 4.508
Pm 8.098 0.000 2.708
I 5.730 2.030 1.918
I 9.001 1.832 0.000
I 10.465 2.030 3.499
I 5.730 -2.030 1.918
I 9.001 -1.832 0.000
I 10.465 -2.030 3.499
```

Computed properties:
For the formation energy without anion corrections, the calculation gives -10.6 eV/f.u. The energy relative to the lowest polymorph listed for this composition comes out at 10.4 meV per atom.

=====

(2)
## Rb3PmI8 (PBE)

Data for crystalline Rb3PmI8 at its relaxed geometry.

Cell and atoms, written as extended XYZ:
```
12
Lattice="-4.115 4.115 8.832 4.115 -4.115 8.832 4.115 4.115 -8.832" Properties=species:S:1:pos:R:3 pbc="T T T"
Rb 0.000 0.000 0.000
Rb 4.115 0.000 4.416
Rb 0.000 4.115 4.416
Pm 0.000 0.000 8.832
I 2.247 2.247 -1.968
I 1.869 -1.869 6.864
I 2.247 2.247 1.968
I 1.869 -1.869 10.799
I -1.869 1.869 6.864
I 1.869 1.869 6.864
I -1.869 1.869 10.799
I 1.869 1.869 10.799
```

Computed properties:
For the formation energy without anion corrections, the calculation gives -12.9 eV/f.u.

=====

(3)
## Rb5Pm2I12 (PBE)

Data for crystalline Rb5Pm2I12 at its relaxed geometry.

Cell and atoms, written as extended XYZ:
```
19
Lattice="10.306 -4.469 0.000 10.306 4.469 0.000 -3.844 0.000 11.333" Properties=species:S:1:pos:R:3 pbc="T T T"
Rb 0.000 0.000 0.000
Rb 5.461 0.000 1.609
Rb 3.836 0.000 7.509
Rb 12.932 0.000 3.824
Rb 11.307 0.000 9.723
Pm 8.384 2.226 5.666
Pm 8.384 -2.226 5.666
I -2.498 0.000 7.772
I 5.441 2.180 4.827
I 3.748 2.019 10.606
I 11.328 2.180 6.506
I 13.020 2.019 0.726
I 8.996 0.000 3.514
I 7.772 0.000 7.819
I 3.748 -2.019 10.606
I 5.441 -2.180 4.827
I 13.020 -2.019 0.726
I 11.328 -2.180 6.506
I 19.266 0.000 3.561
```

Computed properties:
For the formation energy without anion corrections, the calculation gives -25.4 eV/f.u.

=====

> Which formula does entry 1 have?

Rb2PmI6